No. 1
The following is a DFT calculation (PBE) of crystalline SrCuHg2 at its relaxed geometry.

* calculated volume: 97.5 Å³/f.u.
* SG: F-43m
* total DFT energy (no corrections): -1.64 eV/atom

a = 5.166 Å, b = 5.166 Å, c = 5.166 Å
α = 60.00°, β = 60.00°, γ = 60.00°
Positions (direct):
Cu1 0.250 0.250 0.250
Hg1 0.000 0.000 0.000
Hg2 0.750 0.750 0.750
Sr1 0.500 0.500 0.500


No. 2
The following is a DFT calculation (PBE) of crystalline TlCuTcHg at its relaxed geometry.

* M_tot: 0.01 Bohr magnetons per cell
* calculated volume: 71.5 Å³/f.u.
* SG: F-43m
* total DFT energy (no corrections): -3.52 eV/atom

a = 4.659 Å, b = 4.659 Å, c = 4.659 Å
α = 60.00°, β = 60.00°, γ = 60.00°
Positions (direct):
Cu1 0.750 0.750 0.750
Hg1 0.500 0.500 0.500
Tc1 0.250 0.250 0.250
Tl1 0.000 0.000 0.000


No. 3
The following is a DFT calculation (PBE) of crystalline TlCuTcHg at its relaxed geometry.

* M_tot: 2.88 Bohr magnetons per cell
* calculated volume: 76.4 Å³/f.u.
* SG: F-43m
* total DFT energy (no corrections): -3.37 eV/atom

a = 4.763 Å, b = 4.763 Å, c = 4.763 Å
α = 60.00°, β = 60.00°, γ = 60.00°
Positions (direct):
Cu1 0.750 0.750 0.750
Hg1 0.250 0.250 0.250
Tc1 0.500 0.500 0.500
Tl1 0.000 0.000 0.000